Entry 1:
A geometry-optimized CaHf2Zr2 structure. Source: the Alexandria database, functional PBE-GGA.

The formation energy comes out at 19.6 kJ/mol of atoms. For the energy above the most stable polymorph in this dataset, the calculation gives 0 meV per atom.

Cell lengths 8.638, 8.638, 3.432 Å; angles 90.00, 90.00, 90.00 degrees
Fractional positions:
Ca (0.000, 0.000, 0.000)
Ca (0.500, 0.500, 0.000)
Hf (0.376, 0.876, 0.000)
Hf (0.876, 0.624, 0.000)
Hf (0.624, 0.124, 0.000)
Hf (0.124, 0.376, 0.000)
Zr (0.165, 0.665, 0.500)
Zr (0.665, 0.835, 0.500)
Zr (0.835, 0.335, 0.500)
Zr (0.335, 0.165, 0.500)

Entry 2:
A geometry-optimized FeSnRu2N structure. Source: the Alexandria database, functional PBE-GGA.

The formation energy (no corrections) comes out at 0.101 eV/atom.

Cell lengths 4.114, 4.114, 3.791 Å; angles 90.00, 90.00, 90.00 degrees
Fractional positions:
Ru (0.000, 0.500, 0.000)
Ru (0.500, 0.000, 0.000)
N (0.000, 0.000, 0.000)
Sn (0.500, 0.500, 0.500)
Fe (0.000, 0.000, 0.500)